No. 1
The following is a DFT calculation (PBE-GGA) of a relaxed structure of Pr5ErHg3.

Results
DOS(E_F) = 17.1 states/eV/cell
symmetry = P6_3/mcm (193)
formation enthalpy at 0 K = -2.5 eV/f.u.

a = 9.434 Å, b = 9.434 Å, c = 7.038 Å
α = 90.00°, β = 90.00°, γ = 120.00°
Atoms (fractional coordinates):
Pr 0.000 0.335 0.250
Pr 0.000 0.665 0.750
Pr 0.333 0.667 0.000
Pr 0.333 0.667 0.500
Pr 0.335 0.000 0.250
Pr 0.335 0.335 0.750
Pr 0.665 0.000 0.750
Pr 0.665 0.665 0.250
Pr 0.667 0.333 0.000
Pr 0.667 0.333 0.500
Er 0.000 0.000 0.000
Er 0.000 0.000 0.500
Hg 0.000 0.326 0.750
Hg 0.000 0.674 0.250
Hg 0.326 0.000 0.750
Hg 0.326 0.326 0.250
Hg 0.674 0.000 0.250
Hg 0.674 0.674 0.750

No. 2
The following is a DFT calculation (PBE-GGA) of a relaxed structure of La8NdZn2.

Results
DOS(E_F) = 16.9 states/eV/cell
symmetry = C2/m (12)
formation enthalpy at 0 K = -0.8 eV/f.u.

a = 8.981 Å, b = 8.981 Å, c = 8.564 Å
α = 113.43°, β = 113.43°, γ = 35.45°
Atoms (fractional coordinates):
La 0.054 0.054 0.238
La 0.155 0.155 0.720
La 0.309 0.309 0.532
La 0.389 0.389 0.025
La 0.611 0.611 0.975
La 0.691 0.691 0.468
La 0.845 0.845 0.280
La 0.946 0.946 0.762
Nd 0.500 0.500 0.500
Zn 0.220 0.220 0.131
Zn 0.780 0.780 0.869

No. 3
The following is a DFT calculation (PBE-GGA) of a relaxed structure of Nd2BO4.

Results
DOS(E_F) = 1.8 states/eV/cell
raw formation energy = -19.2 eV/f.u.
symmetry = I4/mmm (139)

a = 7.767 Å, b = 7.767 Å, c = 7.767 Å
α = 150.51°, β = 150.51°, γ = 42.20°
Atoms (fractional coordinates):
Nd 0.166 0.166 0.000
Nd 0.834 0.834 0.000
B 0.500 0.500 0.000
O 0.250 0.750 0.500
O 0.411 0.411 0.000
O 0.589 0.589 0.000
O 0.750 0.250 0.500

No. 4
The following is a DFT calculation (PBE-GGA) of a relaxed structure of LaTbPt2.

Results
DOS(E_F) = 4.2 states/eV/cell
offset from the most stable computed form = 116 meV/atom
symmetry = Fm-3m (225)
formation enthalpy at 0 K = -4.4 eV/f.u.

a = 5.079 Å, b = 5.079 Å, c = 5.079 Å
α = 60.00°, β = 60.00°, γ = 60.00°
Atoms (fractional coordinates):
La 0.000 0.000 0.000
Tb 0.500 0.500 0.500
Pt 0.250 0.250 0.250
Pt 0.750 0.750 0.750

No. 5
The following is a DFT calculation (PBE-GGA) of a relaxed structure of HfNb2ZnH.

Results
DOS(E_F) = 4.5 states/eV/cell
offset from the most stable computed form = 62 meV/atom
symmetry = P4/mmm (123)

a = 4.028 Å, b = 4.028 Å, c = 4.665 Å
α = 90.00°, β = 90.00°, γ = 90.00°
Atoms (fractional coordinates):
Hf 0.000 0.000 0.000
Nb 0.000 0.500 0.500
Nb 0.500 0.000 0.500
Zn 0.500 0.500 0.000
H 0.500 0.500 0.500

No. 6
The following is a DFT calculation (PBE-GGA) of a relaxed structure of ErTm3Ag3.

Results
DOS(E_F) = 12.5 states/eV/cell
symmetry = C2/m (12)
formation enthalpy at 0 K = -1.1 eV/f.u.

a = 7.194 Å, b = 7.194 Å, c = 6.933 Å
α = 90.65°, β = 90.65°, γ = 94.50°
Atoms (fractional coordinates):
Er 0.243 0.243 0.350
Er 0.757 0.757 0.650
Tm 0.121 0.121 0.837
Tm 0.240 0.760 0.500
Tm 0.316 0.684 0.000
Tm 0.684 0.316 0.000
Tm 0.760 0.240 0.500
Tm 0.879 0.879 0.163
Ag 0.018 0.497 0.770
Ag 0.427 0.427 0.689
Ag 0.497 0.018 0.770
Ag 0.503 0.982 0.230
Ag 0.573 0.573 0.311
Ag 0.982 0.503 0.230

No. 7
The following is a DFT calculation (PBE-GGA) of a relaxed structure of SmReH.

Results
DOS(E_F) = 3.3 states/eV/cell
uncorrected energy = -6.747 eV per atom
symmetry = Cmcm (63)

a = 8.270 Å, b = 8.270 Å, c = 3.947 Å
α = 90.00°, β = 90.00°, γ = 157.91°
Atoms (fractional coordinates):
Sm 0.091 0.909 0.750
Sm 0.909 0.091 0.250
Re 0.244 0.756 0.250
Re 0.756 0.244 0.750
H 0.459 0.541 0.750
H 0.541 0.459 0.250

No. 8
The following is a DFT calculation (PBE-GGA) of a relaxed structure of LiOs2Pb.

Results
DOS(E_F) = 3.6 states/eV/cell
symmetry = Cmmm (65)
formation enthalpy at 0 K = 3.5 eV/f.u.

a = 5.002 Å, b = 5.002 Å, c = 3.016 Å
α = 90.00°, β = 90.00°, γ = 117.59°
Atoms (fractional coordinates):
Li 0.000 0.000 0.000
Os 0.000 0.500 0.500
Os 0.500 0.000 0.500
Pb 0.500 0.500 0.000

No. 9
The following is a DFT calculation (PBE-GGA) of a relaxed structure of LaLuPd2.

Results
DOS(E_F) = 3.3 states/eV/cell
offset from the most stable computed form = 0 meV/atom
symmetry = P4/mmm (123)
formation enthalpy at 0 K = -3.4 eV/f.u.

a = 3.468 Å, b = 3.468 Å, c = 7.428 Å
α = 90.00°, β = 90.00°, γ = 90.00°
Atoms (fractional coordinates):
La 0.000 0.000 0.000
Lu 0.000 0.000 0.500
Pd 0.500 0.500 0.284
Pd 0.500 0.500 0.716

No. 10
The following is a DFT calculation (PBE-GGA) of a relaxed structure of La2Nd7Cd2.

Results
DOS(E_F) = 14.9 states/eV/cell
symmetry = C2/m (12)
formation enthalpy at 0 K = -0.6 eV/f.u.

a = 6.668 Å, b = 6.668 Å, c = 8.842 Å
α = 102.81°, β = 102.81°, γ = 97.25°
Atoms (fractional coordinates):
La 0.178 0.822 0.000
La 0.822 0.178 0.000
Nd 0.026 0.377 0.671
Nd 0.367 0.367 0.089
Nd 0.377 0.026 0.671
Nd 0.500 0.500 0.500
Nd 0.623 0.974 0.329
Nd 0.633 0.633 0.911
Nd 0.974 0.623 0.329
Cd 0.120 0.120 0.332
Cd 0.880 0.880 0.668

No. 11
The following is a DFT calculation (PBE-GGA) of a relaxed structure of Zn2AsSe.

Results
DOS(E_F) = 1.3 states/eV/cell
raw formation energy = 0.7 eV/f.u.
symmetry = Cmm2 (35)

a = 2.850 Å, b = 2.850 Å, c = 9.650 Å
α = 90.00°, β = 90.00°, γ = 99.03°
Atoms (fractional coordinates):
Zn 0.000 0.000 0.000
Zn 0.500 0.500 0.204
As 0.500 0.500 0.794
Se 0.000 0.000 0.434

No. 12
The following is a DFT calculation (PBE-GGA) of a relaxed structure of ScGeW3.

Results
DOS(E_F) = 5.7 states/eV/cell
offset from the most stable computed form = 1231 meV/atom
symmetry = Pm-3m (221)
formation enthalpy at 0 K = 12.5 eV/f.u.

a = 4.653 Å, b = 4.653 Å, c = 4.653 Å
α = 90.00°, β = 90.00°, γ = 90.00°
Atoms (fractional coordinates):
Sc 0.000 0.000 0.000
Ge 0.500 0.500 0.500
W 0.000 0.000 0.500
W 0.000 0.500 0.000
W 0.500 0.000 0.000